1.
{
  "formula": "Rb4CeEr3Se8",
  "functional": "PBE-GGA",
  "state": "optimized geometry",
  "total_energy_ev_per_atom": -4.92,
  "dos_at_fermi_per_ev_fu": 5.033,
  "spacegroup": "R-3m (166)",
  "formation_energy_uncorrected_ev_per_atom": -1.71,
  "volume_a3_per_cell": 503.14,
  "lattice_angstrom": [[-2.340, 0.094, 8.200], [-6.200, -6.840, -1.691], [8.124, -1.525, -2.098]],
  "species": ["Se", "Ce", "Rb", "Se", "Er", "Rb", "Rb", "Se", "Er", "Se", "Se", "Rb", "Er", "Se", "Se", "Se"],
  "frac_coords": [[0.269, 0.307, 0.538], [0.000, 0.500, 0.000], [0.000, 0.000, 0.000], [0.731, 0.693, 0.462], [0.000, 0.500, 0.500], [0.000, 0.000, 0.500], [0.500, 0.000, 0.500], [0.723, 0.696, 0.959], [0.500, 0.500, 0.500], [0.763, 0.304, 0.041], [0.237, 0.696, 0.474], [0.500, 0.000, 0.000], [0.500, 0.500, 0.000], [0.237, 0.696, 0.959], [0.763, 0.304, 0.526], [0.277, 0.304, 0.041]]
}


2.
{
  "formula": "Ir2Cl3",
  "functional": "PBE-GGA",
  "state": "optimized geometry",
  "total_energy_ev_per_atom": -4.17,
  "dos_at_fermi_per_ev_fu": 5.223,
  "spacegroup": "P6/mmm (191)",
  "polymorph_energy_ev_per_fu": 0.77,
  "formation_energy_uncorrected_ev_per_atom": 0.48,
  "volume_a3_per_cell": 94.37,
  "lattice_angstrom": [[2.423, -4.197, 0.000], [2.423, 4.197, 0.000], [0.000, 0.000, 4.639]],
  "species": ["Ir", "Ir", "Cl", "Cl", "Cl"],
  "frac_coords": [[0.667, 0.333, 0.000], [0.333, 0.667, 0.000], [0.000, 0.000, 0.000], [0.667, 0.333, 0.500], [0.333, 0.667, 0.500]]
}